# 1
A plane-wave DFT calculation with PBEsol was carried out for an optimized crystal structure of LiCuAu2.

## Properties
Energy of formation from the pure elements = -0.30 eV per atom
Size of the total moment = 0.00 μB per atom
Space group = Cmmm

Structure (POSCAR):
```
LiCuAu2
1.0
5.780 0.000 0.000
0.000 7.041 0.000
0.000 0.000 2.798
Li Cu Au
2 2 4
Cartesian
0.000 0.000 0.000
2.890 3.520 0.000
0.000 3.520 0.000
2.890 0.000 0.000
1.445 1.760 1.399
1.445 5.281 1.399
4.335 1.760 1.399
4.335 5.281 1.399
```


# 2
A plane-wave DFT calculation with PBEsol was carried out for an optimized crystal structure of LiCu2Au.

## Properties
Energy of formation from the pure elements = -0.19 eV per atom
Size of the total moment = 0.00 μB per atom
Space group = P4/mmm

Structure (POSCAR):
```
LiCu2Au
1.0
3.673 0.000 0.000
0.000 3.673 0.000
0.000 0.000 3.786
Li Cu Au
1 2 1
Cartesian
0.000 0.000 0.000
0.000 1.836 1.893
1.836 0.000 1.893
1.836 1.836 0.000
```


# 3
A plane-wave DFT calculation with PBEsol was carried out for an optimized crystal structure of LiCuAu2.

## Properties
Energy of formation from the pure elements = -0.26 eV per atom
Size of the total moment = 0.00 μB per atom
Space group = Cm

Structure (POSCAR):
```
LiCuAu2
1.0
9.262 0.000 0.000
0.000 2.764 0.000
-0.763 0.000 4.531
Li Cu Au
2 2 4
Cartesian
0.000 0.000 0.000
4.631 1.382 0.000
2.122 1.382 1.350
6.753 0.000 1.350
1.715 0.000 3.643
4.227 0.000 2.204
6.346 1.382 3.643
8.858 1.382 2.204
```


# 4
A plane-wave DFT calculation with PBEsol was carried out for an optimized crystal structure of LiCuAu2.

## Properties
Energy of formation from the pure elements = -0.29 eV per atom
Size of the total moment = 0.00 μB per atom
Space group = Fm-3m

Structure (POSCAR):
```
LiCuAu2
1.0
6.099 0.000 0.000
0.000 6.099 0.000
0.000 0.000 6.099
Li Cu Au
4 4 8
Cartesian
0.000 0.000 0.000
0.000 3.049 3.049
3.049 0.000 3.049
3.049 3.049 0.000
0.000 0.000 3.049
0.000 3.049 0.000
3.049 0.000 0.000
3.049 3.049 3.049
1.525 1.525 1.525
1.525 1.525 4.574
1.525 4.574 1.525
1.525 4.574 4.574
4.574 1.525 1.525
4.574 1.525 4.574
4.574 4.574 1.525
4.574 4.574 4.574
```


# 5
A plane-wave DFT calculation with PBEsol was carried out for an optimized crystal structure of LiCuAu2.

## Properties
Energy of formation from the pure elements = -0.28 eV per atom
Size of the total moment = 0.00 μB per atom
Space group = Pmmm

Structure (POSCAR):
```
LiCuAu2
1.0
2.782 0.000 0.000
0.000 3.608 0.000
0.000 0.000 5.692
Li Cu Au
1 1 2
Cartesian
0.000 0.000 0.000
0.000 0.000 2.846
1.391 1.804 1.421
1.391 1.804 4.272
```


# 6
A plane-wave DFT calculation with PBEsol was carried out for an optimized crystal structure of LiCuAu2.

## Properties
Energy of formation from the pure elements = -0.30 eV per atom
Size of the total moment = 0.00 μB per atom
Space group = I4/mmm

Structure (POSCAR):
```
LiCuAu2
1.0
3.994 0.000 0.000
0.000 3.994 0.000
0.000 0.000 7.133
Li Cu Au
2 2 4
Cartesian
0.000 0.000 0.000
1.997 1.997 3.566
0.000 0.000 3.566
1.997 1.997 0.000
0.000 1.997 1.783
0.000 1.997 5.350
1.997 0.000 1.783
1.997 0.000 5.350
```


# 7
A plane-wave DFT calculation with PBEsol was carried out for an optimized crystal structure of LiCu2Au.

## Properties
Energy of formation from the pure elements = -0.18 eV per atom
Size of the total moment = 0.00 μB per atom
Space group = I-4m2

Structure (POSCAR):
```
LiCu2Au
1.0
3.721 0.000 0.000
0.000 3.721 0.000
0.000 0.000 7.433
Li Cu Au
2 4 2
Cartesian
0.000 0.000 0.000
1.861 1.861 3.716
0.000 0.000 3.716
0.000 1.861 5.575
1.861 0.000 1.858
1.861 1.861 0.000
0.000 1.861 1.858
1.861 0.000 5.575
```


# 8
A plane-wave DFT calculation with PBEsol was carried out for an optimized crystal structure of LiCuAu2.

## Properties
Energy of formation from the pure elements = -0.23 eV per atom
Size of the total moment = 0.00 μB per atom
Space group = Pmm2

Structure (POSCAR):
```
LiCuAu2
1.0
2.748 0.000 0.000
0.000 4.013 0.000
0.000 0.000 5.311
Li Cu Au
1 1 2
Cartesian
0.000 0.000 0.000
1.374 2.007 3.868
0.000 0.000 2.768
1.374 2.007 1.139
```


# 9
A plane-wave DFT calculation with PBEsol was carried out for an optimized crystal structure of LiCuAu2.

## Properties
Energy of formation from the pure elements = -0.28 eV per atom
Size of the total moment = 0.00 μB per atom
Space group = I-4m2

Structure (POSCAR):
```
LiCuAu2
1.0
3.755 0.000 0.000
0.000 3.755 0.000
0.000 0.000 8.182
Li Cu Au
2 2 4
Cartesian
0.000 0.000 0.000
1.878 1.878 4.091
0.000 1.878 2.046
1.878 0.000 6.137
0.000 0.000 4.091
0.000 1.878 6.137
1.878 0.000 2.046
1.878 1.878 0.000
```


# 10
A plane-wave DFT calculation with PBEsol was carried out for an optimized crystal structure of LiCu2PbAu.

## Properties
Energy of formation from the pure elements = 0.34 eV per atom
Size of the total moment = 0.00 μB per atom
Space group = P4/mmm

Structure (POSCAR):
```
LiCu2PbAu
1.0
4.760 0.000 0.000
0.000 4.760 0.000
0.000 0.000 4.495
Li Cu Pb Au
1 2 1 1
Cartesian
0.000 0.000 0.000
0.000 2.380 2.247
2.380 0.000 2.247
2.380 2.380 0.000
0.000 0.000 2.247
```


# 11
A plane-wave DFT calculation with PBEsol was carried out for an optimized crystal structure of Lu2CuAu.

## Properties
Energy of formation from the pure elements = -0.60 eV per atom
Size of the total moment = 0.00 μB per atom
Space group = Fm-3m

Structure (POSCAR):
```
Lu2CuAu
1.0
6.814 0.000 0.000
0.000 6.814 0.000
0.000 0.000 6.814
Lu Cu Au
8 4 4
Cartesian
1.704 1.704 1.704
1.704 1.704 5.111
1.704 5.111 1.704
1.704 5.111 5.111
5.111 1.704 1.704
5.111 1.704 5.111
5.111 5.111 1.704
5.111 5.111 5.111
0.000 0.000 0.000
0.000 3.407 3.407
3.407 0.000 3.407
3.407 3.407 0.000
0.000 0.000 3.407
0.000 3.407 0.000
3.407 0.000 0.000
3.407 3.407 3.407
```


# 12
A plane-wave DFT calculation with PBEsol was carried out for an optimized crystal structure of Mg2CuAu.

## Properties
Energy of formation from the pure elements = -0.29 eV per atom
Size of the total moment = 0.00 μB per atom
Space group = Cm

Structure (POSCAR):
```
Mg2CuAu
1.0
9.760 0.000 0.000
0.000 3.168 0.000
-1.538 0.000 4.243
Mg Cu Au
4 2 2
Cartesian
0.000 0.000 0.000
1.095 0.000 2.844
4.880 1.584 0.000
5.975 1.584 2.844
3.896 0.000 2.043
8.776 1.584 2.043
2.149 1.584 0.839
7.029 0.000 0.839
```